# 1
A plane-wave DFT calculation with PBEsol was carried out for an optimized crystal structure of ZnNi2Rh.

The space group is Cmmm (No. 65) and the conventional cell measures 5.111, 7.102 and 2.595 Å, with angles of 90.00, 90.00 and 90.00 degrees. The distinct sites, in fractional coordinates, are Zn at (0.000, 0.000, 0.000), Ni at (0.250, 0.250, 0.500) and Rh at (0.000, 0.500, 0.000).

The formation energy comes out at -0.132 eV per atom.

# 2
A plane-wave DFT calculation with PBEsol was carried out for an optimized crystal structure of ZnFePt.

The space group is F-43m (No. 216) and the conventional cell measures 5.678, 5.678 and 5.678 Å, with angles of 90.00, 90.00 and 90.00 degrees. The distinct sites, in fractional coordinates, are Zn at (0.000, 0.000, 0.000), Fe at (0.250, 0.250, 0.750) and Pt at (0.250, 0.250, 0.250).

The formation energy comes out at 0.261 eV per atom.

# 3
A plane-wave DFT calculation with PBEsol was carried out for an optimized crystal structure of Dy2CuO4.

The space group is Cmce (No. 64) and the conventional cell measures 11.666, 5.412 and 5.406 Å, with angles of 90.00, 90.00 and 90.00 degrees. The distinct sites, in fractional coordinates, are Dy at (0.153, 0.000, 0.000), Cu at (0.000, 0.000, 0.500), O at (0.000, 0.210, 0.210) and O at (0.250, 0.242, 0.750).

The calculation puts the uncorrected formation energy at -2.767 eV/atom.

# 4
A plane-wave DFT calculation with PBEsol was carried out for an optimized crystal structure of KBeF3.

The space group is P2_12_12_1 (No. 19) and the conventional cell measures 4.455, 5.438 and 12.020 Å, with angles of 90.00, 90.00 and 90.00 degrees. The distinct sites, in fractional coordinates, are K at (0.224, 0.184, 0.359), Be at (0.161, 0.800, 0.571), F at (0.191, 0.284, 0.956), F at (0.234, 0.070, 0.592) and F at (0.234, 0.619, 0.663).

The calculation puts the uncorrected formation energy at -3.151 eV/atom.

# 5
A plane-wave DFT calculation with PBEsol was carried out for an optimized crystal structure of OsRh3.

The space group is Pmmn (No. 59, origin choice 2) and the conventional cell measures 4.307, 5.388 and 4.678 Å, with angles of 90.00, 90.00 and 90.00 degrees. The distinct sites, in fractional coordinates, are Os at (0.250, 0.250, 0.170), Rh at (0.250, 0.001, 0.664) and Rh at (0.250, 0.750, 0.156).

The formation energy comes out at 0.037 eV per atom.

# 6
A plane-wave DFT calculation with PBEsol was carried out for an optimized crystal structure of KTe3Pt.

The space group is Pm-3m (No. 221) and the conventional cell measures 5.372, 5.372 and 5.372 Å, with angles of 90.00, 90.00 and 90.00 degrees. The distinct sites, in fractional coordinates, are K at (0.000, 0.000, 0.000), Te at (0.000, 0.500, 0.500) and Pt at (0.500, 0.500, 0.500).

The calculation puts the uncorrected formation energy at -0.140 eV/atom.

# 7
A plane-wave DFT calculation with PBEsol was carried out for an optimized crystal structure of CoPd3.

The space group is P6_3/mmc (No. 194) and the conventional cell measures 5.3714, 5.3714 and 4.3772 Å, with angles of 90.00, 90.00 and 120.00 degrees. The distinct sites, in fractional coordinates, are Co at (0.3333, 0.6667, 0.2500) and Pd at (0.1696, 0.3393, 0.7500).

The formation energy comes out at 0.060 eV per atom.

# 8
A plane-wave DFT calculation with PBEsol was carried out for an optimized crystal structure of SrCa2.

The space group is P6_3/mmc (No. 194) and the conventional cell measures 6.3752, 6.3752 and 7.5569 Å, with angles of 90.00, 90.00 and 120.00 degrees. The distinct sites, in fractional coordinates, are Sr at (0.3333, 0.6667, 0.2500), Ca at (0.0000, 0.0000, 0.0000) and Ca at (0.3333, 0.6667, 0.7500).

The calculation puts the energy above the most stable polymorph in this dataset at 62.4 meV per atom. The formation energy comes out at 0.074 eV per atom.

# 9
A plane-wave DFT calculation with PBEsol was carried out for an optimized crystal structure of LaCo2Au.

The space group is I-4m2 (No. 119) and the conventional cell measures 3.927, 3.927 and 8.687 Å, with angles of 90.00, 90.00 and 90.00 degrees. The distinct sites, in fractional coordinates, are La at (0.000, 0.000, 0.000), Co at (0.000, 0.000, 0.500), Co at (0.000, 0.500, 0.750) and Au at (0.000, 0.500, 0.250).

The formation energy comes out at 0.158 eV per atom.

# 10
A plane-wave DFT calculation with PBEsol was carried out for an optimized crystal structure of InCu7.

The space group is Fm-3m (No. 225) and the conventional cell measures 7.359, 7.359 and 7.359 Å, with angles of 90.00, 90.00 and 90.00 degrees. The distinct sites, in fractional coordinates, are In at (0.000, 0.000, 0.000), Cu at (0.000, 0.000, 0.500) and Cu at (0.000, 0.250, 0.250).

The formation energy comes out at 0.041 eV per atom.

# 11
A plane-wave DFT calculation with PBEsol was carried out for an optimized crystal structure of BaLi4.

The space group is I-43m (No. 217) and the conventional cell measures 10.606, 10.606 and 10.606 Å, with angles of 90.00, 90.00 and 90.00 degrees. The distinct sites, in fractional coordinates, are Ba at (0.219, 0.219, 0.219), Li at (0.000, 0.000, 0.361), Li at (0.000, 0.250, 0.500) and Li at (0.097, 0.097, 0.903).

The calculation puts the energy above the most stable polymorph in this dataset at 61.2 meV per atom. The formation energy comes out at 0.068 eV per atom.

# 12
A plane-wave DFT calculation with PBEsol was carried out for an optimized crystal structure of CaTaTl2.

The space group is Pm (No. 6) and the conventional cell measures 3.207, 5.326 and 5.327 Å, with angles of 90.00, 90.00 and 90.00 degrees. The distinct sites, in fractional coordinates, are Ca at (0.000, 0.000, 0.000), Ta at (0.841, 0.500, 0.499), Tl at (0.471, 0.000, 0.500) and Tl at (0.471, 0.500, 0.999).

The formation energy comes out at 0.293 eV per atom.